Computed, not measured: a relaxed CaNd3Bi4 crystal at the PBE level of DFT.

Unit cell a=6.5220 b=6.5220 c=6.5220 alpha=90.00 beta=90.00 gamma=90.00
Last column: nearest neighbours and their distance in Å.
Fractional positions:
Bi: 0.5000 0.5000 0.5000  6 Nd 3.26
Bi: 0.0000 0.0000 0.5000  4 Nd 3.26, 2 Ca 3.26
Nd: 0.5000 0.0000 0.5000  6 Bi 3.26
Bi: 0.0000 0.5000 0.0000  2 Ca 3.26, 4 Nd 3.26
Nd: 0.0000 0.5000 0.5000  6 Bi 3.26
Ca: 0.0000 0.0000 0.0000  6 Bi 3.26
Nd: 0.5000 0.5000 0.0000  6 Bi 3.26
Bi: 0.5000 0.0000 0.0000  4 Nd 3.26, 2 Ca 3.26

## Properties
Total DFT energy (no corrections) (eV per cell): -38.7
Theoretical density (g/cm3): 7.83
Formation enthalpy at 0 K (eV per atom): -0.86
N(E_F) (states/eV/atom): 0.57